No. 1
Material: RbBaI3
Method: DFT, PBE
State: optimized geometry

Geometry as CIF:
```
data_RbBaI3
_space_group_name_H-M_alt 'P n m a'
_space_group_IT_number 62
_cell_length_a 9.3639
_cell_length_b 5.2404
_cell_length_c 20.1046
_cell_angle_alpha 90.00
_cell_angle_beta 90.00
_cell_angle_gamma 90.00
loop_
_space_group_symop_operation_xyz
'x,y,z'
'-x,-y,-z'
'-x+1/2,-y,z+1/2'
'x+1/2,y,-z+1/2'
'x+1/2,-y+1/2,-z+1/2'
'-x+1/2,y+1/2,z+1/2'
'-x,y+1/2,-z'
'x,-y+1/2,z'
loop_
_atom_site_label
_atom_site_type_symbol
_atom_site_fract_x
_atom_site_fract_y
_atom_site_fract_z
Rb1 Rb 0.1198 0.2500 0.2063
Ba1 Ba 0.2384 0.7500 0.4566
I1 I 0.0106 0.2500 0.4062
I2 I 0.1297 0.7500 0.0576
I3 I 0.1711 0.2500 0.7892
```

## Properties
**Total DFT energy (no corrections)**: -63.70 eV for the cell shown
**Magnetic moment**: 0.0 μB per cell

***

No. 2
Material: RbBa6I12
Method: DFT, PBE
State: optimized geometry

Geometry as CIF:
```
data_RbBa6I12
_space_group_name_H-M_alt 'R -3'
_space_group_IT_number 148
_space_group_name_Hall '-R 3'
_cell_length_a 14.8127
_cell_length_b 14.8127
_cell_length_c 16.8631
_cell_angle_alpha 90.00
_cell_angle_beta 90.00
_cell_angle_gamma 120.00
loop_
_atom_site_label
_atom_site_type_symbol
_atom_site_fract_x
_atom_site_fract_y
_atom_site_fract_z
Rb1 Rb 0.0000 0.0000 0.0000
Ba1 Ba 0.0445 0.2650 0.6882
I1 I 0.0318 0.1951 0.3838
I2 I 0.0316 0.2242 0.8940
```

## Properties
**Total DFT energy (no corrections)**: -186.98 eV for the cell shown
**Magnetic moment**: 0.0 μB per cell

***

No. 3
Material: RbBaI
Method: DFT, PBE
State: optimized geometry

Geometry as CIF:
```
data_RbBaI
_space_group_name_H-M_alt 'I 4 m m'
_space_group_IT_number 107
_space_group_name_Hall 'I 4 -2'
_cell_length_a 4.4053
_cell_length_b 4.4053
_cell_length_c 17.0283
_cell_angle_alpha 90.00
_cell_angle_beta 90.00
_cell_angle_gamma 90.00
loop_
_atom_site_label
_atom_site_type_symbol
_atom_site_fract_x
_atom_site_fract_y
_atom_site_fract_z
Rb1 Rb 0.0000 0.0000 0.0000
Ba1 Ba 0.0000 0.0000 0.7213
I1 I 0.0000 0.0000 0.3385
```

## Properties
**Relative energy among the computed polymorphs**: 0.223 eV per formula unit
**Total DFT energy (no corrections)**: -13.68 eV for the cell shown
**Magnetic moment**: 0.7 μB per cell

***

Question: Among the records above, which one has the highest magnetic moment?
Answer: RbBaI